1.
The following is a PBE calculation of an optimized crystal structure of RbNa3Li12Ti4O16, from Alexandria.

Unit cell a=8.688 b=8.688 c=8.688 alpha=98.25 beta=98.25 gamma=135.48
Atoms (fractional coordinates):
Rb  0.000  0.000  0.000
Na  0.250  0.750  0.500
Na  0.500  0.500  0.000
Na  0.750  0.250  0.500
Li  0.018  0.151  0.675
Li  0.081  0.280  0.361
Li  0.151  0.477  0.133
Li  0.280  0.919  0.199
Li  0.343  0.018  0.867
Li  0.477  0.343  0.325
Li  0.523  0.657  0.675
Li  0.657  0.982  0.133
Li  0.720  0.081  0.801
Li  0.849  0.523  0.867
Li  0.919  0.720  0.639
Li  0.982  0.849  0.325
Ti  0.222  0.581  0.803
Ti  0.419  0.222  0.642
Ti  0.581  0.778  0.358
Ti  0.778  0.419  0.197
O  0.080  0.354  0.898
O  0.093  0.677  0.771
O  0.167  0.429  0.597
O  0.182  0.080  0.725
O  0.323  0.093  0.416
O  0.354  0.456  0.275
O  0.429  0.833  0.262
O  0.456  0.182  0.102
O  0.544  0.818  0.898
O  0.571  0.167  0.738
O  0.646  0.544  0.725
O  0.677  0.907  0.584
O  0.818  0.920  0.275
O  0.833  0.571  0.403
O  0.907  0.323  0.229
O  0.920  0.646  0.102

Properties
SG = No. 87
formation energy without anion corrections = -2.333 eV/atom
VASP energy = -222.79 eV/cell

=====

2.
The following is a PBE calculation of an optimized crystal structure of Pr5HoHg5, from Alexandria.

Unit cell a=9.010 b=9.010 c=7.281 alpha=109.46 beta=109.46 gamma=37.70
Atoms (fractional coordinates):
Pr  0.000  0.000  0.000
Pr  0.307  0.307  0.259
Pr  0.374  0.374  0.805
Pr  0.626  0.626  0.195
Pr  0.693  0.693  0.741
Ho  0.000  0.000  0.500
Hg  0.156  0.156  0.877
Hg  0.171  0.171  0.455
Hg  0.500  0.500  0.500
Hg  0.829  0.829  0.545
Hg  0.844  0.844  0.123

Properties
SG = No. 12
formation enthalpy at 0 K = -0.26 eV per atom
VASP energy = -32.83 eV/cell

=====

3.
The following is a PBE calculation of an optimized crystal structure of Y3Ho3Th2, from Alexandria.

Unit cell a=6.337 b=6.337 c=6.337 alpha=89.95 beta=89.95 gamma=89.95
Atoms (fractional coordinates):
Y  0.000  0.250  0.750
Y  0.250  0.750  0.000
Y  0.750  0.000  0.250
Ho  0.250  0.750  0.500
Ho  0.500  0.250  0.750
Ho  0.750  0.500  0.250
Th  0.254  0.254  0.254
Th  0.746  0.746  0.746

Properties
SG = No. 155
formation enthalpy at 0 K = 0.20 eV per atom
VASP energy = -46.34 eV/cell